! NdHo2Zn4 PBE optimized geometry; values from VASP
&SYSTEM
  ibrav = 0, nat = 7, ntyp = 3
/
ATOMIC_SPECIES
Nd 144.24 Nd.upf
Ho 164.93 Ho.upf
Zn 65.41 Zn.upf
CELL_PARAMETERS angstrom
-2.591 2.591 6.320
2.591 -2.591 6.320
2.591 2.591 -6.320
ATOMIC_POSITIONS crystal
Nd 0.000 0.000 0.000
Ho 0.275 0.275 0.000
Ho 0.725 0.725 0.000
Zn 0.115 0.615 0.500
Zn 0.385 0.885 0.500
Zn 0.615 0.115 0.500
Zn 0.885 0.385 0.500
! ΔH_f (0 K)	-135	meV per atom
! space-group type	No. 139
! calculated volume	169.7	Å³/cell